# HfCd2Ge2

An optimized crystal structure of HfCd2Ge2 (PBE-GGA, the Alexandria database).

```
HfCd2Ge2
1.0
-1.069 -3.703 5.984
6.638 -2.539 -0.385
1.354 3.203 2.224
Hf Ge Cd
2 4 4
Direct
0.500 0.500 0.000
0.000 0.000 0.000
0.369 0.869 0.000
0.631 0.131 0.000
0.131 0.369 0.000
0.869 0.631 0.000
0.325 0.175 0.500
0.825 0.325 0.500
0.175 0.675 0.500
0.675 0.825 0.500
```

ΔE to the lowest computed polymorph in meV per atom: 0
Formation enthalpy at 0 K in eV per formula unit: 0.336
Crystal system: tetragonal
Uncorrected energy in eV for the cell shown: -41.37
Density of states at the Fermi level in states/eV per atom: 0.581